The following is a GGA+U calculation of a relaxed Li2TiFeO4 crystal, from Alexandria via LeMat-Bulk.

Cell lengths 5.993, 6.002, 8.594 Å; angles 90.02, 90.01, 90.03 degrees
Positions (direct):
Li  0.000  0.000  0.000
Li  0.000  0.500  0.000
Li  0.249  0.250  0.233
Li  0.251  0.749  0.733
Li  0.500  0.000  0.500
Li  0.500  0.500  0.500
Li  0.749  0.251  0.267
Li  0.751  0.750  0.767
Ti  0.225  0.749  0.256
Ti  0.274  0.249  0.756
Ti  0.726  0.751  0.244
Ti  0.775  0.251  0.744
Fe  0.000  0.000  0.500
Fe  0.000  0.500  0.500
Fe  0.500  0.000  0.000
Fe  0.500  0.500  0.000
O  0.006  0.980  0.245
O  0.007  0.519  0.245
O  0.234  0.250  0.525
O  0.243  0.251  0.980
O  0.259  0.750  0.479
O  0.267  0.750  0.024
O  0.493  0.019  0.746
O  0.494  0.481  0.746
O  0.506  0.519  0.254
O  0.507  0.981  0.254
O  0.733  0.250  0.976
O  0.741  0.250  0.521
O  0.757  0.749  0.020
O  0.766  0.750  0.475
O  0.993  0.481  0.755
O  0.994  0.020  0.755

## Properties
As for the total magnetization: 4.00 μB per formula unit. The space-group type is No. 2. Its density is 3.902 g/cm3. The energy above the lowest structure with this stoichiometry is 0 meV per atom.